[1]
## Li3Ag5Pd (GGA-PBE)

Data for an optimized crystal structure of Li3Ag5Pd.

Cell: 7.800 7.800 7.800 Å, 125.44 125.44 80.81°
Fractional positions:
Li  0.102  0.602  0.703
Li  0.250  0.250  0.000
Li  0.398  0.102  0.500
Li  0.602  0.898  0.500
Li  0.750  0.750  0.000
Li  0.898  0.398  0.297
Ag  0.000  0.000  0.000
Ag  0.090  0.146  0.500
Ag  0.146  0.646  0.056
Ag  0.354  0.410  0.500
Ag  0.410  0.910  0.056
Ag  0.500  0.500  0.000
Ag  0.590  0.090  0.944
Ag  0.646  0.590  0.500
Ag  0.854  0.354  0.944
Ag  0.910  0.854  0.500
Pd  0.250  0.750  0.500
Pd  0.750  0.250  0.500

## Properties
Formation enthalpy at 0 K ... -0.03 eV/atom

=====

[2]
## Li2Ag4Pd (GGA-PBE)

Data for an optimized crystal structure of Li2Ag4Pd.

Cell: 10.055 10.055 10.055 Å, 158.63 158.63 30.40°
Fractional positions:
Li  0.071  0.071  0.000
Li  0.929  0.929  0.000
Ag  0.250  0.750  0.500
Ag  0.362  0.362  0.000
Ag  0.638  0.638  0.000
Ag  0.750  0.250  0.500
Pd  0.500  0.500  0.000

## Properties
Formation enthalpy at 0 K ... 0.04 eV/atom
E above lowest polymorph ... 0.221 eV/atom

=====

[3]
## LiAg6Pd (GGA-PBE)

Data for an optimized crystal structure of LiAg6Pd.

Cell: 4.834 4.834 7.530 Å, 104.56 104.56 68.63°
Fractional positions:
Li  0.000  0.000  0.000
Ag  0.053  0.559  0.193
Ag  0.141  0.141  0.435
Ag  0.441  0.947  0.807
Ag  0.559  0.053  0.193
Ag  0.859  0.859  0.565
Ag  0.947  0.441  0.807
Pd  0.500  0.500  0.500

## Properties
Formation enthalpy at 0 K ... 0.09 eV/atom
E above lowest polymorph ... 0.180 eV/atom

=====

[4]
## Li5Ag4Pd (GGA-PBE)

Data for an optimized crystal structure of Li5Ag4Pd.

Cell: 3.109 3.109 15.904 Å, 90.00 90.00 90.00°
Fractional positions:
Li  0.000  0.000  0.000
Li  0.000  0.000  0.205
Li  0.000  0.000  0.410
Li  0.000  0.000  0.590
Li  0.000  0.000  0.795
Ag  0.500  0.500  0.103
Ag  0.500  0.500  0.308
Ag  0.500  0.500  0.692
Ag  0.500  0.500  0.897
Pd  0.500  0.500  0.500

## Properties
Formation enthalpy at 0 K ... -0.26 eV/atom

=====

[5]
## Li7AgPd5 (GGA-PBE)

Data for an optimized crystal structure of Li7AgPd5.

Cell: 6.826 6.826 6.826 Å, 133.33 95.05 103.06°
Fractional positions:
Li  0.000  0.000  0.000
Li  0.174  0.465  0.709
Li  0.295  0.957  0.338
Li  0.314  0.314  0.000
Li  0.618  0.957  0.662
Li  0.741  0.241  0.500
Li  0.757  0.465  0.291
Ag  0.649  0.649  0.000
Pd  0.189  0.689  0.500
Pd  0.458  0.454  0.493
Pd  0.458  0.966  0.005
Pd  0.961  0.454  0.995
Pd  0.961  0.966  0.507

## Properties
Formation enthalpy at 0 K ... -0.31 eV/atom

=====

[6]
## Li2Ag4Pd (GGA-PBE)

Data for an optimized crystal structure of Li2Ag4Pd.

Cell: 7.682 7.682 7.682 Å, 141.73 141.73 55.24°
Fractional positions:
Li  0.109  0.109  0.000
Li  0.891  0.891  0.000
Ag  0.000  0.500  0.500
Ag  0.306  0.306  0.000
Ag  0.500  0.000  0.500
Ag  0.694  0.694  0.000
Pd  0.500  0.500  0.000

## Properties
Formation enthalpy at 0 K ... 0.37 eV/atom
E above lowest polymorph ... 0.554 eV/atom

=====

[7]
## Li4Ag5Pd (GGA-PBE)

Data for an optimized crystal structure of Li4Ag5Pd.

Cell: 7.493 7.493 5.571 Å, 107.11 107.11 32.40°
Fractional positions:
Li  0.091  0.091  0.311
Li  0.308  0.308  0.889
Li  0.692  0.692  0.111
Li  0.909  0.909  0.689
Ag  0.108  0.108  0.832
Ag  0.293  0.293  0.381
Ag  0.500  0.500  0.500
Ag  0.707  0.707  0.619
Ag  0.892  0.892  0.168
Pd  0.500  0.500  0.000

## Properties
Formation enthalpy at 0 K ... -0.22 eV/atom
E above lowest polymorph ... 0.000 eV/atom

=====

[8]
## Li6Ag2Pd (GGA-PBE)

Data for an optimized crystal structure of Li6Ag2Pd.

Cell: 7.601 7.601 2.789 Å, 90.00 90.00 120.00°
Fractional positions:
Li  0.000  0.327  0.000
Li  0.000  0.673  0.000
Li  0.327  0.000  0.000
Li  0.327  0.327  0.000
Li  0.673  0.000  0.000
Li  0.673  0.673  0.000
Ag  0.333  0.667  0.500
Ag  0.667  0.333  0.500
Pd  0.000  0.000  0.500

## Properties
Formation enthalpy at 0 K ... -0.23 eV/atom
E above lowest polymorph ... 0.000 eV/atom

=====

[9]
## Li6AgPd8 (GGA-PBE)

Data for an optimized crystal structure of Li6AgPd8.

Cell: 9.318 9.318 2.831 Å, 90.00 90.00 120.00°
Fractional positions:
Li  0.096  0.613  0.274
Li  0.387  0.483  0.274
Li  0.483  0.096  0.726
Li  0.517  0.904  0.274
Li  0.613  0.517  0.726
Li  0.904  0.387  0.726
Ag  0.000  0.000  0.500
Pd  0.090  0.319  0.206
Pd  0.229  0.910  0.206
Pd  0.319  0.229  0.794
Pd  0.333  0.667  0.768
Pd  0.667  0.333  0.232
Pd  0.681  0.771  0.206
Pd  0.771  0.090  0.794
Pd  0.910  0.681  0.794

## Properties
Formation enthalpy at 0 K ... -0.18 eV/atom
E above lowest polymorph ... 0.092 eV/atom

=====

[10]
## LiAg4Pd3 (GGA-PBE)

Data for an optimized crystal structure of LiAg4Pd3.

Cell: 9.445 9.445 4.941 Å, 95.52 95.52 17.36°
Fractional positions:
Li  0.000  0.000  0.000
Ag  0.123  0.123  0.370
Ag  0.375  0.375  0.129
Ag  0.625  0.625  0.871
Ag  0.877  0.877  0.630
Pd  0.251  0.251  0.749
Pd  0.500  0.500  0.500
Pd  0.749  0.749  0.251

## Properties
Formation enthalpy at 0 K ... -0.12 eV/atom
E above lowest polymorph ... 0.008 eV/atom

=====

[11]
## Li2Ag8Pd3 (GGA-PBE)

Data for an optimized crystal structure of Li2Ag8Pd3.

Cell: 7.163 7.163 5.068 Å, 95.43 95.43 64.31°
Fractional positions:
Li  0.185  0.185  0.270
Li  0.815  0.815  0.730
Ag  0.192  0.192  0.761
Ag  0.197  0.565  0.023
Ag  0.390  0.390  0.536
Ag  0.435  0.803  0.977
Ag  0.565  0.197  0.023
Ag  0.610  0.610  0.464
Ag  0.803  0.435  0.977
Ag  0.808  0.808  0.239
Pd  0.000  0.000  0.000
Pd  0.178  0.822  0.500
Pd  0.822  0.178  0.500

## Properties
Formation enthalpy at 0 K ... -0.02 eV/atom
E above lowest polymorph ... 0.035 eV/atom

=====

[12]
## Li3Ag2Pd3 (GGA-PBE)

Data for an optimized crystal structure of Li3Ag2Pd3.

Cell: 7.139 7.139 7.139 Å, 145.52 143.14 51.36°
Fractional positions:
Li  0.000  0.000  0.000
Li  0.378  0.878  0.500
Li  0.622  0.122  0.500
Ag  0.256  0.256  0.000
Ag  0.744  0.744  0.000
Pd  0.114  0.614  0.500
Pd  0.500  0.500  0.000
Pd  0.886  0.386  0.500

## Properties
Formation enthalpy at 0 K ... -0.30 eV/atom
E above lowest polymorph ... 0.000 eV/atom

=====

[13]
## Li4Ag7Pd (GGA-PBE)

Data for an optimized crystal structure of Li4Ag7Pd.

Cell: 5.902 5.902 9.479 Å, 116.02 116.02 50.89°
Fractional positions:
Li  0.089  0.089  0.275
Li  0.246  0.246  0.823
Li  0.754  0.754  0.177
Li  0.911  0.911  0.725
Ag  0.000  0.000  0.500
Ag  0.139  0.139  0.022
Ag  0.287  0.287  0.576
Ag  0.436  0.436  0.164
Ag  0.564  0.564  0.836
Ag  0.713  0.713  0.424
Ag  0.861  0.861  0.978
Pd  0.500  0.500  0.500

## Properties
Formation enthalpy at 0 K ... 0.01 eV/atom
E above lowest polymorph ... 0.188 eV/atom

=====

[14]
## LiAg8Pd6 (GGA-PBE)

Data for an optimized crystal structure of LiAg8Pd6.

Cell: 10.477 10.477 2.822 Å, 90.00 90.00 120.00°
Fractional positions:
Li  0.000  0.000  0.000
Ag  0.080  0.796  0.262
Ag  0.204  0.284  0.262
Ag  0.284  0.080  0.738
Ag  0.333  0.667  0.747
Ag  0.667  0.333  0.253
Ag  0.716  0.920  0.262
Ag  0.796  0.716  0.738
Ag  0.920  0.204  0.738
Pd  0.087  0.466  0.247
Pd  0.379  0.913  0.247
Pd  0.466  0.379  0.753
Pd  0.534  0.621  0.247
Pd  0.621  0.087  0.753
Pd  0.913  0.534  0.753

## Properties
Formation enthalpy at 0 K ... 0.10 eV/atom
E above lowest polymorph ... 0.000 eV/atom

=====

[15]
## Li3AgPd12 (GGA-PBE)

Data for an optimized crystal structure of Li3AgPd12.

Cell: 3.930 3.930 15.525 Å, 90.00 90.00 90.00°
Fractional positions:
Li  0.000  0.000  0.000
Li  0.000  0.000  0.245
Li  0.000  0.000  0.755
Ag  0.000  0.000  0.500
Pd  0.000  0.500  0.123
Pd  0.000  0.500  0.368
Pd  0.000  0.500  0.632
Pd  0.000  0.500  0.877
Pd  0.500  0.000  0.123
Pd  0.500  0.000  0.368
Pd  0.500  0.000  0.632
Pd  0.500  0.000  0.877
Pd  0.500  0.500  0.000
Pd  0.500  0.500  0.245
Pd  0.500  0.500  0.500
Pd  0.500  0.500  0.755

## Properties
Formation enthalpy at 0 K ... -0.19 eV/atom

=====

[16]
## Li3AgPd (GGA-PBE)

Data for an optimized crystal structure of Li3AgPd.

Cell: 4.689 4.689 4.689 Å, 90.00 90.00 90.00°
Fractional positions:
Li  0.000  0.000  0.500
Li  0.000  0.500  0.000
Li  0.500  0.000  0.000
Ag  0.500  0.500  0.500
Pd  0.000  0.000  0.000

## Properties
Formation enthalpy at 0 K ... 0.04 eV/atom
E above lowest polymorph ... 0.343 eV/atom

=====

[17]
## Li6AgPd2 (GGA-PBE)

Data for an optimized crystal structure of Li6AgPd2.

Cell: 5.116 5.116 5.116 Å, 94.05 94.05 94.05°
Fractional positions:
Li  0.000  0.330  0.670
Li  0.000  0.670  0.330
Li  0.330  0.000  0.670
Li  0.330  0.670  0.000
Li  0.670  0.000  0.330
Li  0.670  0.330  0.000
Ag  0.500  0.500  0.500
Pd  0.166  0.166  0.166
Pd  0.834  0.834  0.834

## Properties
Formation enthalpy at 0 K ... -0.31 eV/atom
E above lowest polymorph ... 0.000 eV/atom

=====

[18]
## Li4Ag4Pd (GGA-PBE)

Data for an optimized crystal structure of Li4Ag4Pd.

Cell: 6.393 6.393 6.393 Å, 95.80 95.80 142.93°
Fractional positions:
Li  0.000  0.309  0.309
Li  0.000  0.691  0.691
Li  0.309  0.000  0.309
Li  0.691  0.000  0.691
Ag  0.332  0.332  0.664
Ag  0.332  0.668  0.000
Ag  0.668  0.332  0.000
Ag  0.668  0.668  0.336
Pd  0.000  0.000  0.000

## Properties
Formation enthalpy at 0 K ... -0.21 eV/atom
E above lowest polymorph ... 0.024 eV/atom

=====

[19]
## LiAgPd3 (GGA-PBE)

Data for an optimized crystal structure of LiAgPd3.

Cell: 4.817 5.632 6.214 Å, 77.07 75.52 73.32°
Fractional positions:
Li  0.003  0.242  0.000
Li  0.997  0.758  0.000
Ag  0.198  0.548  0.607
Ag  0.802  0.452  0.393
Pd  0.205  0.048  0.598
Pd  0.390  0.856  0.194
Pd  0.402  0.350  0.187
Pd  0.598  0.650  0.813
Pd  0.610  0.144  0.806
Pd  0.795  0.952  0.402

## Properties
Formation enthalpy at 0 K ... -0.19 eV/atom
E above lowest polymorph ... 0.000 eV/atom

=====

[20]
## LiAgPd2 (GGA-PBE)

Data for an optimized crystal structure of LiAgPd2.

Cell: 2.948 2.948 6.853 Å, 90.00 90.00 90.00°
Fractional positions:
Li  0.000  0.000  0.000
Ag  0.000  0.000  0.500
Pd  0.500  0.500  0.218
Pd  0.500  0.500  0.782

## Properties
Formation enthalpy at 0 K ... -0.22 eV/atom
E above lowest polymorph ... 0.024 eV/atom

=====

[21]
## Li2AgPd (GGA-PBE)

Data for an optimized crystal structure of Li2AgPd.

Cell: 5.565 5.565 5.565 Å, 103.81 103.81 121.51°
Fractional positions:
Li  0.116  0.125  0.491
Li  0.375  0.884  0.009
Li  0.634  0.625  0.509
Li  0.875  0.366  0.991
Ag  0.250  0.750  0.500
Ag  0.500  0.500  0.000
Pd  0.000  0.000  0.000
Pd  0.750  0.250  0.500

## Properties
Formation enthalpy at 0 K ... -0.13 eV/atom
E above lowest polymorph ... 0.202 eV/atom

=====

[22]
## LiAgPd3 (GGA-PBE)

Data for an optimized crystal structure of LiAgPd3.

Cell: 4.972 4.972 4.972 Å, 90.00 90.00 90.00°
Fractional positions:
Li  0.000  0.000  0.000
Ag  0.500  0.500  0.500
Pd  0.000  0.500  0.500
Pd  0.500  0.000  0.500
Pd  0.500  0.500  0.000

## Properties
Formation enthalpy at 0 K ... 0.80 eV/atom
E above lowest polymorph ... 0.992 eV/atom